(1)
LaSb3O: relaxed, PBE.

abc: 4.898 4.898 4.898
angles: 90.00 90.00 90.00
Space group Pm-3m (No. 221)
Unique sites:
La  0.000  0.000  0.000 x1
Sb  0.000  0.500  0.500 x3
O  0.500  0.500  0.500 x1

Output
As for the total energy: -5.168 eV per atom. As for the formation energy without anion corrections: -0.717 eV/atom. As for the energy above the most stable polymorph in this dataset: 0.00 eV per formula unit. The value obtained for the calculated volume is 23.5 A^3/atom. Its magnetic moment is 0.000 μB/f.u.

***

(2)
LaSbO4: relaxed, PBE.

abc: 5.452 5.197 14.131
angles: 90.00 112.32 90.00
Space group P2_1/c (No. 14)
Unique sites:
La  0.165  0.245  0.166 x4
Sb  0.430  0.250  0.431 x4
O  0.108  0.114  0.324 x4
O  0.252  0.567  0.458 x4
O  0.340  0.068  0.545 x4
O  0.467  0.611  0.678 x4

Output
As for the total energy: -7.204 eV per atom. As for the formation energy without anion corrections: -2.390 eV/atom. The value obtained for the calculated volume is 15.4 A^3/atom. Its magnetic moment is 0.000 μB/f.u.

***

Q: Among the records above, which one has the highest formation energy without anion corrections?
A: LaSb3O